Here is crystalline LiZnWF6 at its relaxed geometry from Alexandria. Energies are from GGA+U. Values from VASP.

Final energy = -4.937 eV/atom
Fermi-level density of states = 0.000 states/eV/f.u.

Cell and atoms, written as Quantum ESPRESSO input:
```
&SYSTEM
  ibrav = 0, nat = 18, ntyp = 4
/
ATOMIC_SPECIES
F 19.00 F.upf
W 183.84 W.upf
Zn 65.41 Zn.upf
Li 6.94 Li.upf
ATOMIC_POSITIONS angstrom
F 0.889 4.697 7.720
F 0.950 1.579 3.283
F 4.512 1.579 1.154
F 3.620 0.034 3.283
F 3.624 3.118 3.283
F -1.781 3.152 7.720
F -0.892 1.612 5.591
F -0.889 4.697 5.591
F 0.892 1.612 7.720
F 1.781 3.152 5.591
F 1.839 3.118 1.154
F 1.843 0.034 1.154
W 2.731 1.577 6.656
W 0.000 3.154 2.219
Zn 2.731 1.577 2.219
Zn 0.000 3.154 6.656
Li 0.000 0.000 0.000
Li 0.000 0.000 4.437
CELL_PARAMETERS angstrom
5.463 0.000 0.000
-2.731 4.731 0.000
0.000 0.000 8.874
```